The following is a DFT calculation (GGA-PBE) of an optimized crystal structure of LaTmIn2.

Cell: 3.804 3.804 7.795 Å, 90.00 90.00 90.00°
Fractional positions:
La: 0.000 0.000 0.000
Tm: 0.000 0.000 0.500
In: 0.500 0.500 0.273
In: 0.500 0.500 0.727

Output
Formation energy: -0.484 eV per atom
D(E_F): 2.80 states/eV/cell
Spin magnetization: 0.0 Bohr magnetons per cell
Uncorrected energy: -16.8 eV per formula unit


The following is a DFT calculation (GGA-PBE) of an optimized crystal structure of BeAs2Ir.

Cell: 4.234 3.979 5.045 Å, 90.00 114.48 90.00°
Fractional positions:
Be: 0.000 0.000 0.000
As: 0.337 0.500 0.679
As: 0.663 0.500 0.321
Ir: 0.500 0.000 0.000

Output
Formation energy: 0.058 eV per atom
D(E_F): 1.43 states/eV/cell
Spin magnetization: 0.0 Bohr magnetons per cell
Uncorrected energy: -21.7 eV per formula unit


The following is a DFT calculation (GGA-PBE) of an optimized crystal structure of Li2CeCd6.

Cell: 8.730 8.730 8.730 Å, 60.00 60.00 60.00°
Fractional positions:
Li: 0.000 0.000 0.000
Li: 0.000 0.000 0.500
Li: 0.000 0.500 0.000
Li: 0.500 0.000 0.000
Ce: 0.375 0.375 0.375
Ce: 0.625 0.625 0.625
Cd: 0.115 0.115 0.635
Cd: 0.115 0.635 0.115
Cd: 0.115 0.635 0.635
Cd: 0.365 0.365 0.885
Cd: 0.365 0.885 0.365
Cd: 0.365 0.885 0.885
Cd: 0.635 0.115 0.115
Cd: 0.635 0.115 0.635
Cd: 0.635 0.635 0.115
Cd: 0.885 0.365 0.365
Cd: 0.885 0.365 0.885
Cd: 0.885 0.885 0.365

Output
Formation energy: 0.195 eV per atom
D(E_F): 25.00 states/eV/cell
Excess energy over the best structure of this formula in the dataset: 36.1 kJ per mole of atoms
Spin magnetization: 2.5 Bohr magnetons per cell
Uncorrected energy: -13.5 eV per formula unit


The following is a DFT calculation (GGA-PBE) of an optimized crystal structure of Sb2TeBr2.

Cell: 7.799 7.799 4.930 Å, 90.00 90.00 90.00°
Fractional positions:
Sb: 0.136 0.364 0.000
Sb: 0.364 0.864 0.000
Sb: 0.636 0.136 0.000
Sb: 0.864 0.636 0.000
Te: 0.000 0.000 0.000
Te: 0.500 0.500 0.000
Br: 0.162 0.662 0.500
Br: 0.338 0.162 0.500
Br: 0.662 0.838 0.500
Br: 0.838 0.338 0.500

Output
D(E_F): 3.71 states/eV/cell
Excess energy over the best structure of this formula in the dataset: 0.0 kJ per mole of atoms
Spin magnetization: 0.0 Bohr magnetons per cell
Uncorrected energy: -14.7 eV per formula unit
Energy relative to the elements, uncorrected: 0.010 eV per atom


The following is a DFT calculation (GGA-PBE) of an optimized crystal structure of PrZnTc2O8.

Cell: 6.794 6.794 6.794 Å, 135.00 135.00 65.54°
Fractional positions:
Pr: 0.000 0.000 0.000
Zn: 0.750 0.250 0.500
Tc: 0.250 0.750 0.500
Tc: 0.500 0.500 0.000
O: 0.080 0.654 0.076
O: 0.161 0.258 0.590
O: 0.346 0.422 0.426
O: 0.430 0.839 0.098
O: 0.578 0.003 0.924
O: 0.668 0.570 0.410
O: 0.742 0.332 0.902
O: 0.997 0.920 0.574

Output
D(E_F): 5.79 states/eV/cell
Spin magnetization: 2.3 Bohr magnetons per cell
Uncorrected energy: -86.6 eV per formula unit
Energy relative to the elements, uncorrected: -1.682 eV per atom


The following is a DFT calculation (GGA-PBE) of an optimized crystal structure of BaScNi.

Cell: 7.000 7.000 7.000 Å, 90.00 90.00 90.00°
Fractional positions:
Ba: 0.000 0.000 0.000
Ba: 0.000 0.500 0.500
Ba: 0.500 0.000 0.500
Ba: 0.500 0.500 0.000
Sc: 0.000 0.000 0.500
Sc: 0.000 0.500 0.000
Sc: 0.500 0.000 0.000
Sc: 0.500 0.500 0.500
Ni: 0.250 0.250 0.750
Ni: 0.250 0.750 0.250
Ni: 0.750 0.250 0.250
Ni: 0.750 0.750 0.750

Output
Formation energy: 0.329 eV per atom
D(E_F): 15.44 states/eV/cell
Excess energy over the best structure of this formula in the dataset: 47.7 kJ per mole of atoms
Spin magnetization: 0.0 Bohr magnetons per cell
Uncorrected energy: -13.0 eV per formula unit